# 1
A plane-wave DFT calculation with meta-GGA SCAN was carried out for a PBEsol-optimized structure of La5Pb4.

abc: 6.740 9.878 9.878
angles: 120.00 90.00 90.00
Sites, in units of the cell vectors:
La 0.000 0.333 0.667
La 0.250 0.000 0.274
La 0.000 0.667 0.333
La 0.250 0.726 0.726
La 0.750 0.000 0.726
La 0.250 0.274 0.000
La 0.750 0.726 0.000
La 0.500 0.667 0.333
La 0.750 0.274 0.274
La 0.500 0.333 0.667
Pb 0.500 0.000 0.000
Pb 0.000 0.000 0.000
Pb 0.250 0.380 0.380
Pb 0.250 0.000 0.620
Pb 0.750 0.620 0.620
Pb 0.750 0.380 0.000
Pb 0.750 0.000 0.380
Pb 0.250 0.620 0.000

Values from the calculation:
energy of formation: -83.4 kJ per mole of atoms
magnetic moment: 1.3 μB/f.u.
symmetry: P6_3/mcm, No. 193


# 2
A plane-wave DFT calculation with meta-GGA SCAN was carried out for a PBEsol-optimized structure of ZrSb2Ir.

abc: 3.433 3.433 6.939
angles: 90.00 90.00 101.38
Sites, in units of the cell vectors:
Ir 0.500 0.500 0.000
Sb 0.000 0.000 0.224
Sb 0.000 0.000 0.776
Zr 0.500 0.500 0.500

Values from the calculation:
relative energy among the computed polymorphs: 288.1 meV/atom
E_form (uncorrected): -99 meV/atom
magnetic moment: 0.0 μB/f.u.
symmetry: Cmmm, No. 65


# 3
A plane-wave DFT calculation with meta-GGA SCAN was carried out for a PBEsol-optimized structure of KPtW2.

abc: 2.737 4.987 4.987
angles: 90.00 90.00 90.00
Sites, in units of the cell vectors:
K 0.500 0.500 0.500
Pt 0.500 0.000 0.000
W 0.000 0.500 0.000
W 0.000 0.000 0.500

Values from the calculation:
relative energy among the computed polymorphs: 918.7 meV/atom
energy of formation: 171.0 kJ per mole of atoms
magnetic moment: 0.0 μB/f.u.
symmetry: P4/mmm, No. 123


# 4
A plane-wave DFT calculation with meta-GGA SCAN was carried out for a PBEsol-optimized structure of MgMnBr2.

abc: 3.433 4.879 4.879
angles: 89.97 90.00 90.00
Sites, in units of the cell vectors:
Br 0.000 0.000 0.500
Br 0.000 0.500 0.000
Mn 0.500 0.500 0.500
Mg 0.500 0.000 0.000

Values from the calculation:
relative energy among the computed polymorphs: 486.8 meV/atom
E_form (uncorrected): -187 meV/atom
magnetic moment: 4.6 μB/f.u.
symmetry: P4/mmm, No. 123


# 5
A plane-wave DFT calculation with meta-GGA SCAN was carried out for a PBEsol-optimized structure of InSnRh3.

abc: 4.744 4.744 4.744
angles: 90.00 90.00 90.00
Sites, in units of the cell vectors:
In 0.500 0.500 0.500
Rh 0.000 0.500 0.000
Rh 0.500 0.000 0.000
Rh 0.000 0.000 0.500
Sn 0.000 0.000 0.000

Values from the calculation:
relative energy among the computed polymorphs: 0.0 meV/atom
energy of formation: 82.8 kJ per mole of atoms
magnetic moment: 0.0 μB/f.u.
symmetry: Pm-3m, No. 221


# 6
A plane-wave DFT calculation with meta-GGA SCAN was carried out for a PBEsol-optimized structure of NbPCl2.

abc: 3.010 3.010 11.059
angles: 82.18 82.18 60.00
Sites, in units of the cell vectors:
Cl 0.112 0.112 0.665
Cl 0.888 0.888 0.335
Nb 0.500 0.500 0.500
P 0.000 0.000 0.000

Values from the calculation:
relative energy among the computed polymorphs: 0.0 meV/atom
E_form (uncorrected): -264 meV/atom
magnetic moment: 0.0 μB/f.u.
symmetry: R-3m, No. 166


# 7
A plane-wave DFT calculation with meta-GGA SCAN was carried out for a PBEsol-optimized structure of ZrWBr.

abc: 2.977 4.478 5.004
angles: 116.58 107.30 90.00
Sites, in units of the cell vectors:
W 0.676 0.676 0.353
Zr 0.331 0.331 0.662
Br 0.993 0.993 0.985

Values from the calculation:
relative energy among the computed polymorphs: 310.5 meV/atom
E_form (uncorrected): 810 meV/atom
magnetic moment: 0.0 μB/f.u.
symmetry: Imm2, No. 44


# 8
A plane-wave DFT calculation with meta-GGA SCAN was carried out for a PBEsol-optimized structure of YBi2Te2.

abc: 4.680 8.052 8.052
angles: 90.00 90.00 90.00
Sites, in units of the cell vectors:
Bi 0.500 0.160 0.660
Bi 0.500 0.340 0.160
Bi 0.500 0.840 0.340
Bi 0.500 0.660 0.840
Te 0.000 0.339 0.839
Te 0.000 0.161 0.339
Te 0.000 0.661 0.161
Te 0.000 0.839 0.661
Y 0.000 0.000 0.000
Y 0.000 0.500 0.500

Values from the calculation:
E_form (uncorrected): -379 meV/atom
magnetic moment: 0.0 μB/f.u.
symmetry: P4/mbm, No. 127


# 9
A plane-wave DFT calculation with meta-GGA SCAN was carried out for a PBEsol-optimized structure of HfCoGe.

abc: 3.870 6.403 7.099
angles: 90.00 90.00 90.00
Sites, in units of the cell vectors:
Hf 0.750 0.008 0.200
Hf 0.250 0.492 0.700
Hf 0.750 0.508 0.300
Hf 0.250 0.992 0.800
Co 0.750 0.644 0.930
Co 0.250 0.356 0.070
Co 0.250 0.856 0.430
Co 0.750 0.144 0.570
Ge 0.750 0.273 0.894
Ge 0.250 0.227 0.394
Ge 0.250 0.727 0.106
Ge 0.750 0.773 0.606

Values from the calculation:
energy of formation: -65.4 kJ per mole of atoms
magnetic moment: 0.0 μB/f.u.
symmetry: Pnma, No. 62


# 10
A plane-wave DFT calculation with meta-GGA SCAN was carried out for a PBEsol-optimized structure of Cd3GaSi.

abc: 4.994 4.994 4.994
angles: 90.00 90.00 90.00
Sites, in units of the cell vectors:
Cd 0.000 0.500 0.000
Cd 0.500 0.000 0.000
Cd 0.000 0.000 0.500
Si 0.500 0.500 0.500
Ga 0.000 0.000 0.000

Values from the calculation:
E_form (uncorrected): 742 meV/atom
magnetic moment: 0.0 μB/f.u.
symmetry: Pm-3m, No. 221


# 11
A plane-wave DFT calculation with meta-GGA SCAN was carried out for a PBEsol-optimized structure of Zr2NiIr.

abc: 3.313 4.171 5.245
angles: 90.00 108.41 90.00
Sites, in units of the cell vectors:
Ir 0.837 0.000 0.675
Ni 0.663 0.500 0.326
Zr 0.111 0.000 0.221
Zr 0.394 0.500 0.788

Values from the calculation:
energy of formation: -79.5 kJ per mole of atoms
magnetic moment: 0.0 μB/f.u.
symmetry: Amm2, No. 38


# 12
A plane-wave DFT calculation with meta-GGA SCAN was carried out for a PBEsol-optimized structure of BeZn2As.

abc: 3.779 3.779 4.817
angles: 113.10 113.10 90.00
Sites, in units of the cell vectors:
Be 0.250 0.750 0.500
Zn 0.750 0.250 0.500
Zn 0.000 0.000 0.000
As 0.500 0.500 0.000

Values from the calculation:
relative energy among the computed polymorphs: 92.9 meV/atom
energy of formation: 28.5 kJ per mole of atoms
magnetic moment: 0.0 μB/f.u.
symmetry: I-4m2, No. 119


- Which value of magnetic moment does entry 2 give?
  0.0 μB/f.u.


- Which of these has the highest magnetic moment?
  MgMnBr2


- Number 11 is which compound?
  Zr2NiIr


Repeat the seventh record exactly.
A plane-wave DFT calculation with meta-GGA SCAN was carried out for a PBEsol-optimized structure of ZrWBr.

abc: 2.977 4.478 5.004
angles: 116.58 107.30 90.00
Sites, in units of the cell vectors:
W 0.676 0.676 0.353
Zr 0.331 0.331 0.662
Br 0.993 0.993 0.985

Values from the calculation:
relative energy among the computed polymorphs: 310.5 meV/atom
E_form (uncorrected): 810 meV/atom
magnetic moment: 0.0 μB/f.u.
symmetry: Imm2, No. 44